First-principles (GGA-PBE) data for an optimized crystal structure of La3Sm, as listed in Alexandria.

Values from the calculation:
- formation enthalpy at 0 K (kJ/mol of formula units) = 50.1

```
La3Sm
1.0
5.921 0.000 0.000
2.960 5.127 0.000
2.960 1.709 4.834
Sm La
1 3
Direct
0.500 0.500 0.500
0.000 0.000 0.000
0.750 0.750 0.750
0.250 0.250 0.250
```